1.
# Ba2NiRh (PBE, optimized geometry)
data_Ba2NiRh
_space_group_name_H-M_alt 'P m m m'
_space_group_IT_number 47
_space_group_name_Hall '-P 2 2'
_cell_length_a 3.739
_cell_length_b 3.785
_cell_length_c 7.841
_cell_angle_alpha 90.00
_cell_angle_beta 90.00
_cell_angle_gamma 90.00
loop_
_atom_site_label
_atom_site_fract_x
_atom_site_fract_y
_atom_site_fract_z
_atom_site_occupancy
Ba1 0.000 0.000 0.248 1
Ni1 0.500 0.500 0.500 1
Rh1 0.500 0.500 0.000 1
# * ΔH_f (0 K): 0.199 eV/atom
# * D(E_F): 4.056 states/eV/cell
# * calculated total energy: -4.045 eV/atom
# * V: 111.0 Å³ per cell

=====

2.
# Ba2Ni2Rh (PBE, optimized geometry)
data_Ba2Ni2Rh
_space_group_name_H-M_alt 'P 4/m b m'
_space_group_IT_number 127
_space_group_name_Hall '-P 4 2ab'
_cell_length_a 7.001
_cell_length_b 7.001
_cell_length_c 4.725
_cell_angle_alpha 90.00
_cell_angle_beta 90.00
_cell_angle_gamma 90.00
loop_
_atom_site_label
_atom_site_fract_x
_atom_site_fract_y
_atom_site_fract_z
_atom_site_occupancy
Ba1 0.188 0.312 0.000 1
Ni1 0.121 0.621 0.500 1
Rh1 0.000 0.000 0.500 1
# * ΔH_f (0 K): 0.205 eV/atom
# * D(E_F): 12.018 states/eV/cell
# * calculated total energy: -4.347 eV/atom
# * V: 231.6 Å³ per cell